! K2MoW | the Alexandria database | PBE | relaxed; values from VASP
&SYSTEM
  ibrav = 0, nat = 4, ntyp = 3
/
ATOMIC_SPECIES
K 39.10 K.upf
Mo 95.94 Mo.upf
W 183.84 W.upf
CELL_PARAMETERS angstrom
2.9045 -1.6791 0.0000
2.9045 1.6791 0.0000
-2.0704 0.0000 12.0070
ATOMIC_POSITIONS angstrom
K 0.0000 0.0000 0.0000
K 0.0412 0.0000 7.8151
Mo 3.9003 0.0000 3.1142
W 1.9636 0.0000 4.6850
! * V: 29.28 A^3/atom
! * symmetry: Cm
! * E above lowest polymorph: 79 meV per atom
! * formation energy: 0.99 eV/atom
! * magnetization: 0.00 μB/f.u.

! K2MoW | the Alexandria database | PBE | relaxed; values from VASP
&SYSTEM
  ibrav = 0, nat = 4, ntyp = 3
/
ATOMIC_SPECIES
K 39.10 K.upf
Mo 95.94 Mo.upf
W 183.84 W.upf
CELL_PARAMETERS angstrom
0.0000 4.0144 4.0144
4.0144 0.0000 4.0144
4.0144 4.0144 0.0000
ATOMIC_POSITIONS angstrom
K 2.0072 2.0072 2.0072
K 6.0216 6.0216 6.0216
Mo 0.0000 0.0000 0.0000
W 4.0144 4.0144 4.0144
! * V: 32.35 A^3/atom
! * symmetry: Fm-3m
! * E above lowest polymorph: 1564 meV per atom
! * formation energy: 2.48 eV/atom
! * magnetization: 0.06 μB/f.u.

! K2MoW | the Alexandria database | PBE | relaxed; values from VASP
&SYSTEM
  ibrav = 0, nat = 4, ntyp = 3
/
ATOMIC_SPECIES
K 39.10 K.upf
Mo 95.94 Mo.upf
W 183.84 W.upf
CELL_PARAMETERS angstrom
-1.6285 3.2478 6.0851
1.6285 -3.2478 6.0851
1.6285 3.2478 -6.0851
ATOMIC_POSITIONS angstrom
K 0.0000 0.0000 0.0000
K 0.0000 3.2478 2.5049
Mo 1.6285 0.0000 3.4695
W 0.0000 0.0000 5.1405
! * V: 32.18 A^3/atom
! * symmetry: Imm2
! * E above lowest polymorph: 357 meV per atom
! * formation energy: 1.27 eV/atom
! * magnetization: 0.24 μB/f.u.

! KMoW2 | the Alexandria database | PBE | relaxed; values from VASP
&SYSTEM
  ibrav = 0, nat = 4, ntyp = 3
/
ATOMIC_SPECIES
K 39.10 K.upf
Mo 95.94 Mo.upf
W 183.84 W.upf
CELL_PARAMETERS angstrom
2.8027 0.0000 0.0000
0.0000 4.3669 0.0000
-0.4797 0.0000 7.7063
ATOMIC_POSITIONS angstrom
K 0.0000 0.0000 0.0000
Mo 2.2171 2.1835 2.7168
W 0.1483 2.1835 5.0007
W 1.2026 0.0000 3.8689
! * V: 23.58 A^3/atom
! * symmetry: Pm
! * E above lowest polymorph: 170 meV per atom
! * formation energy: 0.95 eV/atom
! * magnetization: 0.00 μB/f.u.

> What is the formula in the third record?

K2MoW

Repeat the second record exactly.
! K2MoW | the Alexandria database | PBE | relaxed; values from VASP
&SYSTEM
  ibrav = 0, nat = 4, ntyp = 3
/
ATOMIC_SPECIES
K 39.10 K.upf
Mo 95.94 Mo.upf
W 183.84 W.upf
CELL_PARAMETERS angstrom
0.0000 4.0144 4.0144
4.0144 0.0000 4.0144
4.0144 4.0144 0.0000
ATOMIC_POSITIONS angstrom
K 2.0072 2.0072 2.0072
K 6.0216 6.0216 6.0216
Mo 0.0000 0.0000 0.0000
W 4.0144 4.0144 4.0144
! * V: 32.35 A^3/atom
! * symmetry: Fm-3m
! * E above lowest polymorph: 1564 meV per atom
! * formation energy: 2.48 eV/atom
! * magnetization: 0.06 μB/f.u.

> What is the magnetization in the first record?

0.00 μB/f.u.